1.
Entry from Alexandria via LeMat-Bulk: ZnCr2Cd after structural relaxation (PBE-GGA).

Structure (CIF):
```
data_ZnCr2Cd
_chemical_formula_sum 'Zn4 Cr8 Cd4'
_symmetry_space_group_name_H-M 'F m -3 m'
_symmetry_Int_Tables_number 225
_symmetry_space_group_name_Hall '-F 4 2 3'
_cell_length_a 6.439
_cell_length_b 6.439
_cell_length_c 6.439
_cell_angle_alpha 90.00
_cell_angle_beta 90.00
_cell_angle_gamma 90.00
loop_
_atom_site_label
_atom_site_type_symbol
_atom_site_fract_x
_atom_site_fract_y
_atom_site_fract_z
Zn1 Zn 0.000 0.000 0.000
Cr1 Cr 0.250 0.250 0.250
Cd1 Cd 0.000 0.000 0.500
```

* E above lowest polymorph: 259 meV/atom
* crystal system: cubic

=====

2.
Entry from Alexandria via LeMat-Bulk: ZnCr2Cd after structural relaxation (PBE-GGA).

Structure (CIF):
```
data_ZnCr2Cd
_chemical_formula_sum 'Zn1 Cr2 Cd1'
_symmetry_space_group_name_H-M 'P m m m'
_symmetry_Int_Tables_number 47
_cell_length_a 3.788
_cell_length_b 3.899
_cell_length_c 4.353
_cell_angle_alpha 90.00
_cell_angle_beta 90.00
_cell_angle_gamma 90.00
loop_
_symmetry_equiv_pos_as_xyz
'x,y,z'
'-x,-y,-z'
'-x,-y,z'
'x,y,-z'
'x,-y,-z'
'-x,y,z'
'-x,y,-z'
'x,-y,z'
loop_
_atom_site_label
_atom_site_type_symbol
_atom_site_fract_x
_atom_site_fract_y
_atom_site_fract_z
Zn1 Zn 0.000 0.000 0.000
Cr1 Cr 0.000 0.500 0.500
Cr2 Cr 0.500 0.000 0.500
Cd1 Cd 0.500 0.500 0.000
```

* E above lowest polymorph: 147 meV/atom
* crystal system: orthorhombic

=====

3.
Entry from Alexandria via LeMat-Bulk: ZnCr2Cd after structural relaxation (PBE-GGA).

Structure (CIF):
```
data_ZnCr2Cd
_chemical_formula_sum 'Zn2 Cr4 Cd2'
_symmetry_space_group_name_H-M 'C 1 2/m 1'
_symmetry_Int_Tables_number 12
_cell_length_a 9.464
_cell_length_b 3.034
_cell_length_c 4.451
_cell_angle_alpha 90.00
_cell_angle_beta 108.43
_cell_angle_gamma 90.00
loop_
_symmetry_equiv_pos_as_xyz
'x,y,z'
'-x,-y,-z'
'-x,y,-z'
'x,-y,z'
'x+1/2,y+1/2,z'
'-x+1/2,-y+1/2,-z'
'-x+1/2,y+1/2,-z'
'x+1/2,-y+1/2,z'
loop_
_atom_site_label
_atom_site_type_symbol
_atom_site_fract_x
_atom_site_fract_y
_atom_site_fract_z
Zn1 Zn 0.000 0.000 0.000
Cr1 Cr 0.241 0.500 0.170
Cd1 Cd 0.000 0.500 0.500
```

* E above lowest polymorph: 265 meV/atom
* crystal system: monoclinic

=====

4.
Entry from Alexandria via LeMat-Bulk: ZnCr2Cd after structural relaxation (PBE-GGA).

Structure (CIF):
```
data_ZnCr2Cd
_chemical_formula_sum 'Zn3 Cr6 Cd3'
_symmetry_space_group_name_H-M 'R -3 m'
_symmetry_Int_Tables_number 166
_symmetry_space_group_name_Hall '-R 3 2"'
_cell_length_a 2.7093
_cell_length_b 2.7093
_cell_length_c 27.5932
_cell_angle_alpha 90.00
_cell_angle_beta 90.00
_cell_angle_gamma 120.00
loop_
_atom_site_label
_atom_site_type_symbol
_atom_site_fract_x
_atom_site_fract_y
_atom_site_fract_z
Zn1 Zn 0.0000 0.0000 0.0000
Cr1 Cr 0.0000 0.0000 0.2549
Cd1 Cd 0.0000 0.0000 0.5000
```

* E above lowest polymorph: 402 meV/atom
* crystal system: trigonal

=====

5.
Entry from Alexandria via LeMat-Bulk: ZnCr2Cd after structural relaxation (PBE-GGA).

Structure (CIF):
```
data_ZnCr2Cd
_chemical_formula_sum 'Zn1 Cr2 Cd1'
_symmetry_space_group_name_H-M 'P 1 2/m 1'
_symmetry_Int_Tables_number 10
_cell_length_a 2.645
_cell_length_b 4.244
_cell_length_c 5.289
_cell_angle_alpha 90.00
_cell_angle_beta 96.99
_cell_angle_gamma 90.00
loop_
_symmetry_equiv_pos_as_xyz
'x,y,z'
'-x,-y,-z'
'-x,y,-z'
'x,-y,z'
loop_
_atom_site_label
_atom_site_type_symbol
_atom_site_fract_x
_atom_site_fract_y
_atom_site_fract_z
Zn1 Zn 0.000 0.000 0.000
Cr1 Cr 0.465 0.500 0.199
Cd1 Cd 0.000 0.000 0.500
```

* E above lowest polymorph: 258 meV/atom
* crystal system: monoclinic

=====

6.
Entry from Alexandria via LeMat-Bulk: Zn2CrCd after structural relaxation (PBE-GGA).

Structure (CIF):
```
data_Zn2CrCd
_chemical_formula_sum 'Zn4 Cr2 Cd2'
_symmetry_space_group_name_H-M 'C m m m'
_symmetry_Int_Tables_number 65
_symmetry_space_group_name_Hall '-C 2 2'
_cell_length_a 3.461
_cell_length_b 4.143
_cell_length_c 8.671
_cell_angle_alpha 90.00
_cell_angle_beta 90.00
_cell_angle_gamma 90.00
loop_
_atom_site_label
_atom_site_type_symbol
_atom_site_fract_x
_atom_site_fract_y
_atom_site_fract_z
Zn1 Zn 0.000 0.000 0.218
Cr1 Cr 0.000 0.500 0.000
Cd1 Cd 0.000 0.500 0.500
```

* crystal system: orthorhombic
* total energy: -3.01 eV per atom